1.
The following is a DFT calculation (GGA-PBE) of an optimized crystal structure of MoPtCI2.

Output
- space group = P4/mmm

Lattice parameters (Å, degrees): 5.535 5.535 5.114 90.00 90.00 90.00
Positions (direct):
Mo1 0.000 0.000 0.000
Pt1 0.000 0.000 0.500
C1 0.500 0.500 0.000
I1 0.000 0.500 0.500
I2 0.500 0.000 0.500

***

2.
The following is a DFT calculation (GGA-PBE) of an optimized crystal structure of SbMoCI2.

Output
- space group = P4/mmm
- offset from the most stable computed form (meV/atom) = 0

Lattice parameters (Å, degrees): 4.991 4.991 4.760 90.00 90.00 90.00
Positions (direct):
Sb1 0.000 0.000 0.000
Mo1 0.500 0.500 0.000
C1 0.000 0.000 0.500
I1 0.000 0.500 0.500
I2 0.500 0.000 0.500

***

3.
The following is a DFT calculation (GGA-PBE) of an optimized crystal structure of SbMoCI2.

Output
- space group = P4/mmm
- offset from the most stable computed form (meV/atom) = 140

Lattice parameters (Å, degrees): 5.484 5.484 5.284 90.00 90.00 90.00
Positions (direct):
Sb1 0.000 0.000 0.000
Mo1 0.000 0.000 0.500
C1 0.500 0.500 0.000
I1 0.000 0.500 0.500
I2 0.500 0.000 0.500

***

4.
The following is a DFT calculation (GGA-PBE) of an optimized crystal structure of TeMoCI2.

Output
- space group = P4/mmm
- offset from the most stable computed form (meV/atom) = 84

Lattice parameters (Å, degrees): 4.795 4.795 4.700 90.00 90.00 90.00
Positions (direct):
Te1 0.000 0.000 0.000
Mo1 0.500 0.500 0.000
C1 0.000 0.000 0.500
I1 0.000 0.500 0.500
I2 0.500 0.000 0.500

***

Number 1: VASP energy -3.604 eV per atom, ρ 5.9 g/cm³. Number 2: VASP energy -3.799 eV per atom, ρ 6.8 g/cm³. Number 3: VASP energy -3.659 eV per atom, ρ 5.1 g/cm³. Number 4: VASP energy -3.484 eV per atom, ρ 7.5 g/cm³.